1.
First-principles (PBE) data for Si2TcSb after structural relaxation, as listed in Alexandria via LeMat-Bulk.

abc: 5.0079 5.0079 5.0079
angles: 140.66 121.25 73.01
Sites, in units of the cell vectors:
Si1 0.0000 0.0000 0.0000
Si2 0.7838 0.2838 0.5000
Tc1 0.5476 0.5476 0.0000
Sb1 0.2599 0.7599 0.5000

Summary:
E_form (uncorrected) in eV per atom: 0.3585

---

2.
First-principles (PBE) data for AcPmInHg after structural relaxation, as listed in Alexandria via LeMat-Bulk.

abc: 3.9306 3.9306 8.0115
angles: 90.00 90.00 90.00
Sites, in units of the cell vectors:
Ac1 0.0000 0.0000 0.0000
Pm1 0.0000 0.0000 0.4916
In1 0.5000 0.5000 0.7252
Hg1 0.5000 0.5000 0.2774

Summary:
Formation energy in meV per atom: -458
Relative energy among the computed polymorphs in meV per atom: 0

---

3.
First-principles (PBE) data for NaTcNiN2 after structural relaxation, as listed in Alexandria via LeMat-Bulk.

abc: 5.6955 4.6830 5.2541
angles: 90.00 100.08 90.00
Sites, in units of the cell vectors:
Na1 0.0000 0.2264 0.2500
Na2 0.0000 0.7736 0.7500
Tc1 0.5000 0.4961 0.7500
Tc2 0.5000 0.5039 0.2500
Ni1 0.5000 0.0000 0.0000
Ni2 0.5000 0.0000 0.5000
N1 0.2888 0.3074 0.9625
N2 0.2888 0.6926 0.4625
N3 0.7112 0.3074 0.5375
N4 0.7112 0.6926 0.0375

Summary:
E_form (uncorrected) in eV per atom: -0.1112

---

4.
First-principles (PBE) data for Ce4HRh2 after structural relaxation, as listed in Alexandria via LeMat-Bulk.

abc: 8.1648 8.1648 8.1648
angles: 147.99 147.99 45.89
Sites, in units of the cell vectors:
Ce1 0.0000 0.5000 0.5000
Ce2 0.1886 0.1886 0.0000
Ce3 0.5000 0.0000 0.5000
Ce4 0.8114 0.8114 0.0000
H1 0.0000 0.0000 0.0000
Rh1 0.3496 0.3496 0.0000
Rh2 0.6504 0.6504 0.0000

Summary:
Relative energy among the computed polymorphs in meV per atom: 20

---

5.
First-principles (PBE) data for Pm2ZnCl after structural relaxation, as listed in Alexandria via LeMat-Bulk.

abc: 8.8628 8.8628 8.8628
angles: 24.20 24.20 24.20
Sites, in units of the cell vectors:
Pm1 0.0000 0.0000 0.0000
Pm2 0.1686 0.1686 0.1686
Zn1 0.5845 0.5845 0.5845
Cl1 0.4170 0.4170 0.4170

Summary:
Relative energy among the computed polymorphs in meV per atom: 20
E_form (uncorrected) in eV per atom: -0.8070

---

6.
First-principles (PBE) data for SiP2RuN after structural relaxation, as listed in Alexandria via LeMat-Bulk.

abc: 4.3169 3.0072 5.2706
angles: 90.00 109.90 90.00
Sites, in units of the cell vectors:
Si1 0.0000 0.0000 0.0000
P1 0.2503 0.5000 0.5994
P2 0.6056 0.0000 0.5734
Ru1 0.7528 0.5000 0.2673
N1 0.2378 0.5000 0.9346

Summary:
Relative energy among the computed polymorphs in meV per atom: 119
E_form (uncorrected) in eV per atom: -0.2083

---

7.
First-principles (PBE) data for Li6SbAu after structural relaxation, as listed in Alexandria via LeMat-Bulk.

abc: 5.8664 5.8664 4.6626
angles: 90.00 90.00 120.00
Sites, in units of the cell vectors:
Li1 0.0111 0.5056 0.0000
Li2 0.3212 0.1606 0.5000
Li3 0.4944 0.5056 0.0000
Li4 0.4944 0.9889 0.0000
Li5 0.8394 0.1606 0.5000
Li6 0.8394 0.6788 0.5000
Sb1 0.0000 0.0000 0.0000
Au1 0.3333 0.6667 0.5000

Summary:
E_form (uncorrected) in eV per atom: -0.4493

---

8.
First-principles (PBE) data for KMo2Cl after structural relaxation, as listed in Alexandria via LeMat-Bulk.

abc: 3.2579 3.2579 8.5401
angles: 90.00 90.00 90.00
Sites, in units of the cell vectors:
K1 0.0000 0.0000 0.0000
Mo1 0.0000 0.0000 0.4941
Mo2 0.5000 0.5000 0.3610
Cl1 0.5000 0.5000 0.7724

Summary:
Relative energy among the computed polymorphs in meV per atom: 124
E_form (uncorrected) in eV per atom: 0.2018

---

9.
First-principles (PBE) data for Hf2Rh after structural relaxation, as listed in Alexandria via LeMat-Bulk.

abc: 8.7296 8.7296 8.7296
angles: 60.00 60.00 60.00
Sites, in units of the cell vectors:
Hf1 0.0000 0.0000 0.0000
Hf2 0.0000 0.0000 0.5000
Hf3 0.0000 0.5000 0.0000
Hf4 0.1890 0.1890 0.5610
Hf5 0.1890 0.5610 0.1890
Hf6 0.1890 0.5610 0.5610
Hf7 0.4390 0.4390 0.8110
Hf8 0.4390 0.8110 0.4390
Hf9 0.4390 0.8110 0.8110
Hf10 0.5000 0.0000 0.0000
Hf11 0.5610 0.1890 0.1890
Hf12 0.5610 0.1890 0.5610
Hf13 0.5610 0.5610 0.1890
Hf14 0.8110 0.4390 0.4390
Hf15 0.8110 0.4390 0.8110
Hf16 0.8110 0.8110 0.4390
Rh1 0.1650 0.7783 0.7783
Rh2 0.2217 0.2217 0.2217
Rh3 0.2217 0.2217 0.8350
Rh4 0.2217 0.8350 0.2217
Rh5 0.7783 0.1650 0.7783
Rh6 0.7783 0.7783 0.1650
Rh7 0.7783 0.7783 0.7783
Rh8 0.8350 0.2217 0.2217

Summary:
Formation energy in meV per atom: -619

---

10.
First-principles (PBE) data for Nd6AlZn after structural relaxation, as listed in Alexandria via LeMat-Bulk.

abc: 9.6296 9.6296 9.6296
angles: 148.43 148.43 45.26
Sites, in units of the cell vectors:
Nd1 0.1036 0.6036 0.5000
Nd2 0.2480 0.2480 0.0000
Nd3 0.3964 0.8964 0.5000
Nd4 0.6036 0.1036 0.5000
Nd5 0.7520 0.7520 0.0000
Nd6 0.8964 0.3964 0.5000
Al1 0.0000 0.0000 0.0000
Zn1 0.5000 0.5000 0.0000

Summary:
Formation energy in meV per atom: -149

---

Number 1: DOS at the Fermi energy 2.164 states/eV per cell, raw total energy -23.90 eV per cell. Number 2: DOS at the Fermi energy 4.584 states/eV per cell, raw total energy -13.73 eV per cell. Number 3: DOS at the Fermi energy 1.892 states/eV per cell, raw total energy -69.35 eV per cell. Number 4: DOS at the Fermi energy 16.354 states/eV per cell, raw total energy -44.71 eV per cell. Number 5: DOS at the Fermi energy 3.733 states/eV per cell, raw total energy -15.85 eV per cell. Number 6: DOS at the Fermi energy 1.351 states/eV per cell, raw total energy -34.89 eV per cell. Number 7: DOS at the Fermi energy 1.845 states/eV per cell, raw total energy -22.48 eV per cell. Number 8: DOS at the Fermi energy 2.399 states/eV per cell, raw total energy -23.80 eV per cell. Number 9: DOS at the Fermi energy 23.996 states/eV per cell, raw total energy -232.92 eV per cell. Number 10: DOS at the Fermi energy 9.393 states/eV per cell, raw total energy -34.82 eV per cell.